This record from Alexandria via LeMat-Bulk describes a relaxed TmPd7Pt3 crystal. The functional is PBE.

Computed properties:
- Calculated density: 13.4 g cm⁻³
- Final energy: -5.598 eV/atom
- Space group: P3m1 (156)
- ΔH_f (0 K): -2.63 eV/f.u.
- Calculated volume: 186 Å³/cell

Unit cell a=6.8337 b=5.6126 c=5.6126 alpha=120.00 beta=90.00 gamma=90.00
Last column: nearest neighbours and their distance in Å.
Element x y z (fractional)
Tm: 0.4368 0.3333 0.6667  9 Pd 2.80-2.81, 3 Pt 2.90
Pd: 0.1068 0.1622 0.8378  8 Pd 2.73-2.88, 2 Pt 2.74, 1 Tm 2.80
Pd: 0.1068 0.1622 0.3244  8 Pd 2.73-2.88, 2 Pt 2.74, 1 Tm 2.80
Pd: 0.1254 0.6667 0.3333  9 Pd 2.80-2.81, 3 Pt 2.81
Pd: 0.4569 0.8362 0.1638  7 Pd 2.76-2.87, 2 Pt 2.78, 2 Tm 2.81
Pd: 0.4569 0.3277 0.1638  7 Pd 2.76-2.87, 2 Pt 2.78, 2 Tm 2.81
Pd: 0.4569 0.8362 0.6723  7 Pd 2.76-2.87, 2 Pt 2.78, 2 Tm 2.81
Pd: 0.1068 0.6756 0.8378  8 Pd 2.73-2.88, 2 Pt 2.74, 1 Tm 2.80
Pt: 0.7872 0.5016 0.4984  5 Pd 2.74-2.81, 4 Pt 2.78-2.83, 1 Tm 2.90
Pt: 0.7872 0.5016 0.0032  5 Pd 2.74-2.81, 4 Pt 2.78-2.83, 1 Tm 2.90
Pt: 0.7872 0.9968 0.4984  5 Pd 2.74-2.81, 4 Pt 2.78-2.83, 1 Tm 2.90